! PBE-GGA CuAgSe2, optimized geometry; values from VASP
&SYSTEM
  ibrav = 0, nat = 4, ntyp = 3
/
ATOMIC_SPECIES
Cu 63.55 Cu.upf
Ag 107.87 Ag.upf
Se 78.96 Se.upf
ATOMIC_POSITIONS crystal
Cu 0.000 0.000 0.000
Ag 0.500 0.500 0.500
Se 0.392 0.392 0.392
Se 0.608 0.608 0.608
CELL_PARAMETERS angstrom
1.817 1.049 7.736
-1.817 1.049 7.736
0.000 -2.098 7.736
! Symmetry ... R-3m, No. 166
! Total energy ... -3.44 eV per atom
! Raw formation energy ... 39 meV/atom